VASP calculation (GGA-PBE) on a relaxed Hf4FeP crystal.

## Properties
As for the volume: 18.04 Å³ per atom. The total energy comes out at -9.475 eV per atom.

Unit cell a=6.2855 b=6.2855 c=5.4801 alpha=90.00 beta=90.00 gamma=90.00
Last column: nearest neighbours and their distance in Å.
Sites, in units of the cell vectors:
Hf  0.1596  0.3247  0.0000  2 Fe 2.65, 2 P 2.77
Hf  0.1596  0.6753  0.5000  2 Fe 2.65, 2 P 2.77
Hf  0.3247  0.1596  0.5000  2 Fe 2.65, 2 P 2.77
Hf  0.3247  0.8404  0.0000  2 Fe 2.65, 2 P 2.77
Hf  0.6753  0.1596  0.0000  2 Fe 2.65, 2 P 2.77
Hf  0.6753  0.8404  0.5000  2 Fe 2.65, 2 P 2.77
Hf  0.8404  0.3247  0.5000  2 Fe 2.65, 2 P 2.77
Hf  0.8404  0.6753  0.0000  2 Fe 2.65, 2 P 2.77
Fe  0.0000  0.0000  0.2500  8 Hf 2.65, 2 Fe 2.74
Fe  0.0000  0.0000  0.7500  8 Hf 2.65, 2 Fe 2.74
P  0.5000  0.5000  0.2500  2 P 2.74, 8 Hf 2.77
P  0.5000  0.5000  0.7500  2 P 2.74, 8 Hf 2.77